An optimized crystal structure of Ni3HN, computed with PBE.

The structure belongs to space group Pm-3m (No. 221); the cell edges are 3.681, 3.681 and 3.681 Å and the angles 90.00°, 90.00° and 90.00°. The distinct sites, in fractional coordinates, are Ni at (0.000, 0.000, 0.500), H at (0.500, 0.500, 0.500) and N at (0.000, 0.000, 0.000).

As for the calculated total energy: -5.37 eV per atom. The crystal system is cubic.

An optimized crystal structure of Ni5H2N, computed with PBE.

The structure belongs to space group Pnma (No. 62); the cell edges are 5.305, 3.749 and 13.212 Å and the angles 90.00°, 90.00° and 90.00°. The distinct sites, in fractional coordinates, are Ni at (0.100, 0.250, 0.156), Ni at (0.109, 0.250, 0.346), Ni at (0.140, 0.250, 0.555), Ni at (0.141, 0.250, 0.948), Ni at (0.158, 0.250, 0.751), H at (0.081, 0.750, 0.168), H at (0.139, 0.750, 0.936) and N at (0.141, 0.750, 0.559).

As for the calculated total energy: -5.42 eV per atom. The crystal system is orthorhombic.

An optimized crystal structure of Ni6H2N, computed with PBE.

The structure belongs to space group P2_1/c (No. 14); the cell edges are 4.447, 4.975 and 8.237 Å and the angles 90.00°, 121.79° and 90.00°. The distinct sites, in fractional coordinates, are Ni at (0.079, 0.040, 0.247), Ni at (0.248, 0.677, 0.070), Ni at (0.407, 0.196, 0.073), H at (0.289, 0.019, 0.746) and N at (0.000, 0.000, 0.000).

As for the calculated total energy: -5.45 eV per atom. The crystal system is monoclinic.

Number 1: magnetic moment 0.0 Bohr magnetons per cell. Number 2: magnetic moment 0.0 Bohr magnetons per cell. Number 3: magnetic moment 0.0 Bohr magnetons per cell.